Material: ZnFeSe2
Method: DFT, GGA-PBEsol
State: optimized geometry

Lattice parameters (Å, degrees): 3.1299 4.5357 4.5357 90.00 90.00 90.00
Positions (direct):
Zn: 0.5000 0.5000 0.5000
Se: 0.0000 0.5000 0.0000
Fe: 0.5000 0.0000 0.0000
Se: 0.0000 0.0000 0.5000

## Properties
Volume, A^3/atom: 16.097
N(E_F), states/eV/f.u.: 3.9
Crystal system: tetragonal
Space-group type: P4/mmm
E_form (uncorrected), eV per atom: 0.280